# PuZnIr2 (PBE-GGA, optimized geometry)
data_PuZnIr2
_chemical_formula_sum 'Pu1 Zn1 Ir2'
_space_group_name_H-M_alt 'P 1'
_space_group_IT_number 1
_space_group_name_Hall 'P 1'
_cell_length_a 3.1197
_cell_length_b 3.1197
_cell_length_c 6.9038
_cell_angle_alpha 90.00
_cell_angle_beta 90.00
_cell_angle_gamma 90.00
loop_
_atom_site_label
_atom_site_type_symbol
_atom_site_fract_x
_atom_site_fract_y
_atom_site_fract_z
_atom_site_occupancy
Pu1 Pu 0.0000 0.0000 0.0000 1
Zn1 Zn 0.0000 0.0000 0.5000 1
Ir1 Ir 0.5000 0.5000 0.2822 1
Ir2 Ir 0.5000 0.5000 0.7178 1
# - Total magnetic moment: 4.47 μB per formula unit
# - N(E_F): 8.0 states/eV/cell
# - ΔE_f: -1.01 eV per formula unit